1:
Entry from Alexandria: an optimized crystal structure of Na4TlCd2 (PBE).

Output
- SG = P1, No. 1

Unit cell a=6.2608 b=7.7170 c=9.7824 alpha=77.09 beta=72.64 gamma=67.46
Positions (direct):
Na 0.0000 0.0000 0.0000
Na 0.0074 0.4529 0.5340
Na 0.0358 0.4969 0.8912
Na 0.4639 0.4550 0.1298
Na 0.4977 0.9670 0.0288
Na 0.5108 0.4839 0.5043
Na 0.5443 0.9959 0.4041
Na 0.9725 0.9556 0.6421
Tl 0.1616 0.8061 0.3260
Tl 0.8476 0.6457 0.2074
Cd 0.0045 0.2260 0.2668
Cd 0.3731 0.1349 0.7180
Cd 0.5038 0.7260 0.7667
Cd 0.6339 0.3170 0.8157



2:
Entry from Alexandria: an optimized crystal structure of Na4TlCd2 (PBE).

Output
- SG = I4/mmm, No. 139

Unit cell a=8.7215 b=8.7215 c=8.7215 alpha=140.62 beta=140.62 gamma=56.91
Positions (direct):
Na 0.0000 0.5000 0.5000
Na 0.2009 0.2009 0.0000
Na 0.5000 0.0000 0.5000
Na 0.7991 0.7991 0.0000
Tl 0.0000 0.0000 0.0000
Cd 0.4028 0.4028 0.0000
Cd 0.5972 0.5972 0.0000



Energy relative to the most stable one, in meV/atom: 1 0; 2 201



1:
Entry from Alexandria: an optimized crystal structure of NaTl5Cd2 (PBE).

Output
- SG = I4/mcm, No. 140

Unit cell a=8.8554 b=8.8554 c=8.8554 alpha=123.29 beta=123.29 gamma=84.39
Positions (direct):
Na 0.2500 0.2500 0.0000
Na 0.7500 0.7500 0.0000
Tl 0.0000 0.0000 0.0000
Tl 0.0042 0.5042 0.1931
Tl 0.1889 0.9958 0.5000
Tl 0.3111 0.8111 0.8069
Tl 0.4958 0.6889 0.5000
Tl 0.5000 0.5000 0.0000
Tl 0.5042 0.3111 0.5000
Tl 0.6889 0.1889 0.1931
Tl 0.8111 0.0042 0.5000
Tl 0.9958 0.4958 0.8069
Cd 0.1398 0.3602 0.5000
Cd 0.3602 0.8602 0.2205
Cd 0.6398 0.1398 0.7795
Cd 0.8602 0.6398 0.5000



2:
Entry from Alexandria: an optimized crystal structure of NaTl5Cd2 (PBE).

Output
- SG = P2_1/m, No. 11

Unit cell a=6.2882 b=5.2140 c=13.9029 alpha=90.00 beta=90.07 gamma=90.00
Positions (direct):
Na 0.1538 0.2500 0.2499
Na 0.8462 0.7500 0.7501
Tl 0.1566 0.2500 0.7496
Tl 0.1727 0.2500 0.5045
Tl 0.1727 0.2500 0.9950
Tl 0.3432 0.7500 0.1261
Tl 0.3434 0.7500 0.3740
Tl 0.6566 0.2500 0.6260
Tl 0.6568 0.2500 0.8739
Tl 0.8273 0.7500 0.0050
Tl 0.8273 0.7500 0.4955
Tl 0.8434 0.7500 0.2504
Cd 0.3507 0.7500 0.6326
Cd 0.3510 0.7500 0.8671
Cd 0.6490 0.2500 0.1329
Cd 0.6493 0.2500 0.3674



Energy relative to the most stable one, in meV/atom: 1 12; 2 0



1:
Entry from Alexandria: an optimized crystal structure of NaV3Cd (PBE).

Output
- SG = Pm-3m, No. 221

Unit cell a=5.1887 b=5.1887 c=5.1887 alpha=90.00 beta=90.00 gamma=90.00
Positions (direct):
Na 0.0000 0.0000 0.0000
V 0.0000 0.5000 0.5000
V 0.5000 0.0000 0.5000
V 0.5000 0.5000 0.0000
Cd 0.5000 0.5000 0.5000



2:
Entry from Alexandria: an optimized crystal structure of NaV3Cd (PBE).

Output
- SG = Pm-3m, No. 221

Unit cell a=4.5188 b=4.5188 c=4.5188 alpha=90.00 beta=90.00 gamma=90.00
Positions (direct):
Na 0.0000 0.0000 0.0000
V 0.0000 0.0000 0.5000
V 0.0000 0.5000 0.0000
V 0.5000 0.0000 0.0000
Cd 0.5000 0.5000 0.5000



Energy relative to the most stable one, in meV/atom: 1 0; 2 400



1:
Entry from Alexandria: an optimized crystal structure of NaCd2W (PBE).

Output
- SG = Fm-3m, No. 225

Unit cell a=4.8754 b=4.8754 c=4.8754 alpha=60.00 beta=60.00 gamma=60.00
Positions (direct):
Na 0.0000 0.0000 0.0000
Cd 0.2500 0.2500 0.2500
Cd 0.7500 0.7500 0.7500
W 0.5000 0.5000 0.5000



2:
Entry from Alexandria: an optimized crystal structure of NaCd2W (PBE).

Output
- SG = I-42d, No. 122

Unit cell a=10.4179 b=10.4179 c=10.4179 alpha=155.69 beta=155.69 gamma=34.65
Positions (direct):
Na 0.0000 0.0000 0.0000
Na 0.7500 0.2500 0.5000
Cd 0.1422 0.6250 0.0172
Cd 0.3750 0.3922 0.5172
Cd 0.6078 0.1250 0.9828
Cd 0.8750 0.8578 0.4828
W 0.2500 0.7500 0.5000
W 0.5000 0.5000 0.0000



Energy relative to the most stable one, in meV/atom: 1 0; 2 432



1:
Entry from Alexandria: an optimized crystal structure of Na2Zn2Cd (PBE).

Output
- SG = I4/mmm, No. 139

Unit cell a=10.0057 b=10.0057 c=10.0057 alpha=159.18 beta=159.18 gamma=29.61
Positions (direct):
Na 0.1118 0.1118 0.0000
Na 0.8882 0.8882 0.0000
Zn 0.2500 0.7500 0.5000
Zn 0.7500 0.2500 0.5000
Cd 0.5000 0.5000 0.0000



2:
Entry from Alexandria: an optimized crystal structure of Na2Zn2Cd (PBE).

Output
- SG = P4/mbm, No. 127

Unit cell a=7.0409 b=7.0409 c=4.8364 alpha=90.00 beta=90.00 gamma=90.00
Positions (direct):
Na 0.1761 0.3239 0.0000
Na 0.3239 0.8239 0.0000
Na 0.6761 0.1761 0.0000
Na 0.8239 0.6761 0.0000
Zn 0.1272 0.6272 0.5000
Zn 0.3728 0.1272 0.5000
Zn 0.6272 0.8728 0.5000
Zn 0.8728 0.3728 0.5000
Cd 0.0000 0.0000 0.5000
Cd 0.5000 0.5000 0.5000



Energy relative to the most stable one, in meV/atom: 1 38; 2 0



1:
Entry from Alexandria: an optimized crystal structure of NaZnCd (PBE).

Output
- SG = C2/m, No. 12

Unit cell a=6.1451 b=6.1451 c=5.7164 alpha=101.32 beta=101.32 gamma=43.42
Positions (direct):
Na 0.1069 0.1069 0.3034
Na 0.8931 0.8931 0.6966
Zn 0.2250 0.2250 0.8744
Zn 0.7750 0.7750 0.1256
Cd 0.4035 0.4035 0.2913
Cd 0.5965 0.5965 0.7087



2:
Entry from Alexandria: an optimized crystal structure of NaZnCd (PBE).

Output
- SG = I4/mmm, No. 139

Unit cell a=13.7626 b=13.7626 c=13.7626 alpha=166.61 beta=166.61 gamma=18.98
Positions (direct):
Na 0.0643 0.0643 0.0000
Na 0.9357 0.9357 0.0000
Zn 0.2235 0.2235 0.0000
Zn 0.7765 0.7765 0.0000
Cd 0.3480 0.3480 0.0000
Cd 0.6520 0.6520 0.0000



Energy relative to the most stable one, in meV/atom: 1 0; 2 40



1:
Entry from Alexandria: an optimized crystal structure of NaZnCd (PBE).

Output
- SG = P-6m2, No. 187

Unit cell a=4.9217 b=4.9217 c=3.1632 alpha=90.00 beta=90.00 gamma=120.00
Positions (direct):
Na 0.0000 0.0000 0.0000
Zn 0.3333 0.6667 0.5000
Cd 0.6667 0.3333 0.5000



2:
Entry from Alexandria: an optimized crystal structure of NaZnCd (PBE).

Output
- SG = F-43m, No. 216

Unit cell a=4.7613 b=4.7613 c=4.7613 alpha=60.00 beta=60.00 gamma=60.00
Positions (direct):
Na 0.0000 0.0000 0.0000
Zn 0.7500 0.7500 0.7500
Cd 0.5000 0.5000 0.5000



Energy relative to the most stable one, in meV/atom: 1 0; 2 125



1:
Entry from Alexandria: an optimized crystal structure of Na2ZnCd3 (PBE).

Output
- SG = P6_3/mmc, No. 194

Unit cell a=5.9329 b=5.9329 c=9.3353 alpha=90.00 beta=90.00 gamma=120.00
Positions (direct):
Na 0.3333 0.6667 0.0617
Na 0.3333 0.6667 0.4383
Na 0.6667 0.3333 0.5617
Na 0.6667 0.3333 0.9383
Zn 0.0000 0.0000 0.0000
Zn 0.0000 0.0000 0.5000
Cd 0.1685 0.3370 0.7500
Cd 0.1685 0.8315 0.7500
Cd 0.3370 0.1685 0.2500
Cd 0.6630 0.8315 0.7500
Cd 0.8315 0.1685 0.2500
Cd 0.8315 0.6630 0.2500



2:
Entry from Alexandria: an optimized crystal structure of Na2ZnCd3 (PBE).

Output
- SG = Pmma, No. 51

Unit cell a=5.6772 b=5.9772 c=8.6634 alpha=90.00 beta=90.00 gamma=90.00
Positions (direct):
Na 0.2500 0.0000 0.1114
Na 0.2500 0.5000 0.3695
Na 0.7500 0.0000 0.8886
Na 0.7500 0.5000 0.6305
Zn 0.2500 0.0000 0.4656
Zn 0.7500 0.0000 0.5344
Cd 0.0000 0.5000 0.0000
Cd 0.2500 0.2469 0.7389
Cd 0.2500 0.7531 0.7389
Cd 0.5000 0.5000 0.0000
Cd 0.7500 0.2469 0.2611
Cd 0.7500 0.7531 0.2611



Energy relative to the most stable one, in meV/atom: 1 0; 2 64